1.
This record from Alexandria via LeMat-Bulk describes crystalline CaBeTc3 at its relaxed geometry. The functional is PBE.

Computed properties:
Uncorrected energy   -6.62 eV/atom
Space-group type   Pm-3m, No. 221
ΔH_f (0 K)   0.741 eV per atom

a b c (Å): 4.327 4.327 4.327
angles (deg): 90.00 90.00 90.00
Atoms (fractional coordinates):
Be  0.000  0.000  0.000
Ca  0.500  0.500  0.500
Tc  0.000  0.500  0.000
Tc  0.000  0.000  0.500
Tc  0.500  0.000  0.000

2.
This record from Alexandria via LeMat-Bulk describes crystalline Ca2BeTc at its relaxed geometry. The functional is PBE.

Computed properties:
Uncorrected energy   -3.82 eV/atom
Space-group type   P4/mmm, No. 123
ΔH_f (0 K)   0.706 eV per atom

a b c (Å): 3.338 3.338 7.733
angles (deg): 90.00 90.00 89.99
Site moments in Bohr magnetons follow the coordinates.
Atoms (fractional coordinates):
Be  0.500  0.500  0.750  0.00
Ca  0.000  0.000  0.994  0.00
Ca  0.000  0.000  0.506  0.00
Tc  0.500  0.500  0.250  1.48

3.
This record from Alexandria via LeMat-Bulk describes crystalline CaBeTc at its relaxed geometry. The functional is PBE.

Computed properties:
Uncorrected energy   -4.81 eV/atom
Space-group type   P3m1, No. 156
ΔH_f (0 K)   0.559 eV per atom

a b c (Å): 3.918 3.918 4.237
angles (deg): 90.00 90.00 120.00
Site moments in Bohr magnetons follow the coordinates.
Atoms (fractional coordinates):
Be  0.000  0.000  0.866  -0.03
Ca  0.667  0.333  0.325  -0.01
Tc  0.333  0.667  0.809  0.81

4.
This record from Alexandria via LeMat-Bulk describes crystalline CaBe3Tc at its relaxed geometry. The functional is PBE.

Computed properties:
Uncorrected energy   -2.24 eV/atom
Space-group type   Pm-3m, No. 221
ΔH_f (0 K)   2.470 eV per atom

a b c (Å): 4.289 4.289 4.289
angles (deg): 90.00 90.00 90.00
Atoms (fractional coordinates):
Be  0.000  0.500  0.000
Be  0.000  0.000  0.500
Be  0.500  0.000  0.000
Ca  0.000  0.000  0.000
Tc  0.500  0.500  0.500

5.
This record from Alexandria via LeMat-Bulk describes crystalline Ca2BeTc at its relaxed geometry. The functional is PBE.

Computed properties:
Uncorrected energy   -3.61 eV/atom
Space-group type   I-42d, No. 122
ΔH_f (0 K)   0.917 eV per atom

a b c (Å): 7.778 7.778 6.158
angles (deg): 50.84 50.84 90.00
Site moments in Bohr magnetons follow the coordinates.
Atoms (fractional coordinates):
Be  0.500  0.500  0.000  -0.03
Be  0.250  0.750  0.500  -0.03
Ca  0.606  0.125  0.250  -0.02
Ca  0.144  0.625  0.250  -0.03
Ca  0.375  0.394  0.750  -0.02
Ca  0.875  0.856  0.750  -0.02
Tc  0.000  0.000  0.000  1.00
Tc  0.750  0.250  0.500  1.00

6.
This record from Alexandria via LeMat-Bulk describes crystalline CaBeTc2 at its relaxed geometry. The functional is PBE.

Computed properties:
Uncorrected energy   -6.21 eV/atom
Space-group type   F-43m, No. 216
ΔH_f (0 K)   0.406 eV per atom

a b c (Å): 4.443 4.443 4.443
angles (deg): 60.00 60.00 60.00
Atoms (fractional coordinates):
Be  0.500  0.500  0.500
Ca  0.750  0.750  0.750
Tc  0.000  0.000  0.000
Tc  0.250  0.250  0.250

7.
This record from Alexandria via LeMat-Bulk describes crystalline Ca2BeTc at its relaxed geometry. The functional is PBE.

Computed properties:
Uncorrected energy   -3.81 eV/atom
Space-group type   I4/mmm, No. 139
ΔH_f (0 K)   0.710 eV per atom

a b c (Å): 5.281 5.281 4.393
angles (deg): 65.44 65.44 49.16
Site moments in Bohr magnetons follow the coordinates.
Atoms (fractional coordinates):
Be  0.750  0.750  0.750  -0.04
Ca  0.000  0.000  0.000  -0.01
Ca  0.500  0.500  0.500  -0.01
Tc  0.250  0.250  0.250  0.75

8.
This record from Alexandria via LeMat-Bulk describes crystalline CaBeTc at its relaxed geometry. The functional is PBE.

Computed properties:
Uncorrected energy   -4.73 eV/atom
Space-group type   P3m1, No. 156
ΔH_f (0 K)   0.635 eV per atom

a b c (Å): 4.557 4.557 2.792
angles (deg): 90.00 90.00 120.00
Atoms (fractional coordinates):
Be  0.000  0.000  0.869
Ca  0.333  0.667  0.337
Tc  0.667  0.333  0.794

9.
This record from Alexandria via LeMat-Bulk describes crystalline CaBeTc2 at its relaxed geometry. The functional is PBE.

Computed properties:
Uncorrected energy   -6.21 eV/atom
Space-group type   C2/m, No. 12
ΔH_f (0 K)   0.404 eV per atom

a b c (Å): 5.610 5.610 4.692
angles (deg): 65.19 65.19 27.99
Atoms (fractional coordinates):
Be  0.250  0.250  0.250
Ca  0.750  0.750  0.750
Tc  0.956  0.956  0.044
Tc  0.544  0.544  0.456

10.
This record from Alexandria via LeMat-Bulk describes crystalline Ca3BeTc at its relaxed geometry. The functional is PBE.

Computed properties:
Uncorrected energy   -3.02 eV/atom
Space-group type   Pm-3m, No. 221
ΔH_f (0 K)   0.995 eV per atom

a b c (Å): 5.368 5.368 5.368
angles (deg): 90.00 90.00 90.00
Site moments in Bohr magnetons follow the coordinates.
Atoms (fractional coordinates):
Be  0.000  0.000  0.000  0.00
Ca  0.000  0.500  0.000  -0.03
Ca  0.000  0.000  0.500  -0.02
Ca  0.500  0.000  0.000  -0.04
Tc  0.500  0.500  0.500  2.94

11.
This record from Alexandria via LeMat-Bulk describes crystalline CaBeTc2 at its relaxed geometry. The functional is PBE.

Computed properties:
Uncorrected energy   -6.48 eV/atom
Space-group type   P4mm, No. 99
ΔH_f (0 K)   0.138 eV per atom

a b c (Å): 3.086 3.086 6.976
angles (deg): 90.00 90.00 90.00
Atoms (fractional coordinates):
Be  0.000  0.000  0.425
Ca  0.500  0.500  0.742
Tc  0.000  0.000  0.066
Tc  0.500  0.500  0.267

12.
This record from Alexandria via LeMat-Bulk describes crystalline CaBe2Tc at its relaxed geometry. The functional is PBE.

Computed properties:
Uncorrected energy   -4.49 eV/atom
Space-group type   Imm2, No. 44
ΔH_f (0 K)   0.467 eV per atom

a b c (Å): 5.291 5.291 5.291
angles (deg): 150.33 127.29 61.65
Atoms (fractional coordinates):
Be  0.991  0.991  0.000
Be  0.790  0.290  0.500
Ca  0.508  0.508  0.000
Tc  0.211  0.711  0.500